DFT (PBE-GGA) results for a relaxed structure of CdOs2WI.

Geometry as CIF:
```
data_CdOs2WI
_chemical_formula_sum 'Cd1 Os2 W1 I1'
_symmetry_space_group_name_H-M 'P 4/m m m'
_symmetry_Int_Tables_number 123
_symmetry_space_group_name_Hall '-P 4 2'
_cell_length_a 4.800
_cell_length_b 4.800
_cell_length_c 5.459
_cell_angle_alpha 90.00
_cell_angle_beta 90.00
_cell_angle_gamma 90.00
loop_
_atom_site_label
_atom_site_type_symbol
_atom_site_fract_x
_atom_site_fract_y
_atom_site_fract_z
Cd1 Cd 0.000 0.000 0.000
Os1 Os 0.000 0.500 0.500
W1 W 0.000 0.000 0.500
I1 I 0.500 0.500 0.000
```

Calculated values
- spin magnetization (μB per formula unit) = 1.9
- N(E_F) (states/eV/atom) = 1.09
- total DFT energy (no corrections) (eV per atom) = -5.67
- E_form (uncorrected) (eV per atom) = 1.91